Record 1
A geometry-optimized SbS2Cl3F6 structure, computed with PBE.

CIF file:
```
data_SbS2Cl3F6
_symmetry_space_group_name_H-M 'P 1'
_symmetry_Int_Tables_number 1
_cell_length_a 5.907
_cell_length_b 6.960
_cell_length_c 9.036
_cell_angle_alpha 112.65
_cell_angle_beta 126.52
_cell_angle_gamma 90.00
loop_
_symmetry_equiv_pos_as_xyz
'x,y,z'
loop_
_atom_site_label
_atom_site_type_symbol
_atom_site_fract_x
_atom_site_fract_y
_atom_site_fract_z
_atom_site_occupancy
F1 F 0.770 0.902 0.197 1
F2 F 0.230 0.706 0.803 1
F3 F 0.316 0.061 0.122 1
F4 F 0.770 0.294 0.197 1
F5 F 0.684 0.939 0.878 1
F6 F 0.230 0.098 0.803 1
Sb1 Sb 0.500 0.000 0.000 1
Cl1 Cl 0.500 0.000 0.500 1
Cl2 Cl 0.500 0.500 0.500 1
Cl3 Cl 0.000 0.500 0.000 1
S1 S 0.192 0.669 0.337 1
S2 S 0.808 0.331 0.663 1
```

Formation energy without anion corrections = -1.1806 eV/atom

Record 2
A geometry-optimized La2AgPd structure, computed with PBE.

CIF file:
```
data_La2AgPd
_symmetry_space_group_name_H-M 'P 1'
_symmetry_Int_Tables_number 1
_cell_length_a 8.108
_cell_length_b 8.108
_cell_length_c 6.691
_cell_angle_alpha 52.70
_cell_angle_beta 52.70
_cell_angle_gamma 90.00
loop_
_symmetry_equiv_pos_as_xyz
'x,y,z'
loop_
_atom_site_label
_atom_site_type_symbol
_atom_site_fract_x
_atom_site_fract_y
_atom_site_fract_z
_atom_site_occupancy
Pd1 Pd 0.500 0.500 0.000 1
Pd2 Pd 0.250 0.750 0.500 1
Ag1 Ag 0.000 0.000 0.000 1
Ag2 Ag 0.750 0.250 0.500 1
La1 La 0.150 0.625 0.250 1
La2 La 0.375 0.400 0.750 1
La3 La 0.600 0.125 0.250 1
La4 La 0.875 0.850 0.750 1
```

ΔE_f = -0.2360 eV/atom

Record 3
A geometry-optimized AsOsPb2Br structure, computed with PBE.

CIF file:
```
data_AsOsPb2Br
_symmetry_space_group_name_H-M 'P 1'
_symmetry_Int_Tables_number 1
_cell_length_a 5.593
_cell_length_b 5.043
_cell_length_c 5.593
_cell_angle_alpha 90.00
_cell_angle_beta 90.00
_cell_angle_gamma 90.00
loop_
_symmetry_equiv_pos_as_xyz
'x,y,z'
loop_
_atom_site_label
_atom_site_type_symbol
_atom_site_fract_x
_atom_site_fract_y
_atom_site_fract_z
_atom_site_occupancy
Os1 Os 0.500 0.500 0.500 1
Pb1 Pb 0.000 0.000 0.500 1
Pb2 Pb 0.500 0.000 0.000 1
Br1 Br 0.000 0.000 0.000 1
As1 As 0.000 0.500 0.000 1
```

Formation energy without anion corrections = 1.6802 eV/atom

Record 4
A geometry-optimized Cu2IrBr structure, computed with PBE.

CIF file:
```
data_Cu2IrBr
_symmetry_space_group_name_H-M 'P 1'
_symmetry_Int_Tables_number 1
_cell_length_a 6.511
_cell_length_b 6.511
_cell_length_c 6.511
_cell_angle_alpha 154.10
_cell_angle_beta 143.66
_cell_angle_gamma 45.17
loop_
_symmetry_equiv_pos_as_xyz
'x,y,z'
loop_
_atom_site_label
_atom_site_type_symbol
_atom_site_fract_x
_atom_site_fract_y
_atom_site_fract_z
_atom_site_occupancy
Br1 Br 0.688 0.188 0.500 1
Cu1 Cu 0.337 0.837 0.500 1
Cu2 Cu 0.963 0.963 0.000 1
Ir1 Ir 0.511 0.511 0.000 1
```

Formation energy without anion corrections = 0.4403 eV/atom

Record 5
A geometry-optimized Pm2SbAu6 structure, computed with PBE.

CIF file:
```
data_Pm2SbAu6
_symmetry_space_group_name_H-M 'P 1'
_symmetry_Int_Tables_number 1
_cell_length_a 3.475
_cell_length_b 8.257
_cell_length_c 8.962
_cell_angle_alpha 117.43
_cell_angle_beta 67.22
_cell_angle_gamma 90.00
loop_
_symmetry_equiv_pos_as_xyz
'x,y,z'
loop_
_atom_site_label
_atom_site_type_symbol
_atom_site_fract_x
_atom_site_fract_y
_atom_site_fract_z
_atom_site_occupancy
Sb1 Sb 0.000 0.000 0.000 1
Au1 Au 0.834 0.000 0.666 1
Au2 Au 0.166 0.334 0.334 1
Au3 Au 0.166 0.000 0.334 1
Au4 Au 0.500 0.333 0.000 1
Au5 Au 0.500 0.667 0.000 1
Au6 Au 0.834 0.666 0.666 1
Pm1 Pm 0.669 0.666 0.331 1
Pm2 Pm 0.331 0.334 0.669 1
```

Formation energy without anion corrections = -0.5075 eV/atom

Record 6
A geometry-optimized HfMgCl6 structure, computed with PBE.

CIF file:
```
data_HfMgCl6
_symmetry_space_group_name_H-M 'P 1'
_symmetry_Int_Tables_number 1
_cell_length_a 6.401
_cell_length_b 6.401
_cell_length_c 6.805
_cell_angle_alpha 61.95
_cell_angle_beta 61.95
_cell_angle_gamma 60.00
loop_
_symmetry_equiv_pos_as_xyz
'x,y,z'
loop_
_atom_site_label
_atom_site_type_symbol
_atom_site_fract_x
_atom_site_fract_y
_atom_site_fract_z
_atom_site_occupancy
Hf1 Hf 0.000 0.000 0.000 1
Cl1 Cl 0.614 0.244 0.247 1
Cl2 Cl 0.386 0.756 0.753 1
Cl3 Cl 0.756 0.105 0.753 1
Cl4 Cl 0.895 0.614 0.247 1
Cl5 Cl 0.105 0.386 0.753 1
Cl6 Cl 0.244 0.895 0.247 1
Mg1 Mg 0.500 0.500 0.500 1
```

Formation energy without anion corrections = -1.7869 eV/atom

Record 7
A geometry-optimized Rb2SiSnBi structure, computed with PBE.

CIF file:
```
data_Rb2SiSnBi
_symmetry_space_group_name_H-M 'P 1'
_symmetry_Int_Tables_number 1
_cell_length_a 6.874
_cell_length_b 4.961
_cell_length_c 6.874
_cell_angle_alpha 90.00
_cell_angle_beta 90.00
_cell_angle_gamma 90.00
loop_
_symmetry_equiv_pos_as_xyz
'x,y,z'
loop_
_atom_site_label
_atom_site_type_symbol
_atom_site_fract_x
_atom_site_fract_y
_atom_site_fract_z
_atom_site_occupancy
Rb1 Rb 0.000 0.000 0.500 1
Rb2 Rb 0.500 0.000 0.000 1
Si1 Si 0.000 0.000 0.000 1
Sn1 Sn 0.000 0.500 0.000 1
Bi1 Bi 0.500 0.500 0.500 1
```

Formation energy without anion corrections = 0.3688 eV/atom

Record 8
A geometry-optimized CoBCl2 structure, computed with PBE.

CIF file:
```
data_CoBCl2
_symmetry_space_group_name_H-M 'P 1'
_symmetry_Int_Tables_number 1
_cell_length_a 4.437
_cell_length_b 4.437
_cell_length_c 4.437
_cell_angle_alpha 60.00
_cell_angle_beta 60.00
_cell_angle_gamma 60.00
loop_
_symmetry_equiv_pos_as_xyz
'x,y,z'
loop_
_atom_site_label
_atom_site_type_symbol
_atom_site_fract_x
_atom_site_fract_y
_atom_site_fract_z
_atom_site_occupancy
Cl1 Cl 0.250 0.250 0.250 1
Cl2 Cl 0.750 0.750 0.750 1
Co1 Co 0.500 0.500 0.500 1
B1 B 0.000 0.000 0.000 1
```

Formation energy without anion corrections = 1.1045 eV/atom